CeAlCuTc after structural relaxation. Source: Alexandria, functional PBE.

Energy of formation: -94 meV/atom
E: -98.07 eV/cell
Fermi-level density of states: 1.04 states/eV per atom

Lattice parameters (Å, degrees): 6.537 6.537 6.537 90.00 90.00 90.00
Space group F-43m (No. 216)
One atom of each set of equivalent atoms:
Ce  0.000  0.000  0.000 [4 per cell]
Al  0.000  0.000  0.500 [4 per cell]
Cu  0.250  0.250  0.750 [4 per cell]
Tc  0.250  0.250  0.250 [4 per cell]